No. 1
Entry from the Alexandria database: a relaxed structure of Cs4Sm3ErSe8 (PBE).

Cell: 8.6480 8.6480 25.1758 Å, 90.00 90.00 120.00°
Last column: nearest neighbours and their distance in Å.
Space group R-3m (No. 166, hexagonal axes)
Asymmetric unit:
Cs  0.0000  0.0000  0.0000 [3 per cell]  6 Se 3.66
Cs  0.0000  0.5000  0.0000 [9 per cell]  6 Se 3.61
Sm  0.0000  0.5000  0.5000 [9 per cell]  6 Se 2.96-2.97
Er  0.0000  0.0000  0.5000 [3 per cell]  6 Se 2.91
Se  0.0000  0.0000  0.2298 [6 per cell]  3 Sm 2.96
Se  0.0064  0.5032  0.2289 [18 per cell]  1 Er 2.91, 2 Sm 2.97

Properties
Crystal system: trigonal
Energy relative to the elements, uncorrected in meV/atom: -1726
Density in g/cm3: 5.443
Spin magnetization in μB/atom: 0.000

***

No. 2
Entry from the Alexandria database: a relaxed structure of SmCo3NiB (PBE).

Cell: 5.0307 5.0307 6.9112 Å, 90.00 90.00 120.00°
Last column: nearest neighbours and their distance in Å.
Space group P6/mmm (No. 191)
Asymmetric unit:
Sm  0.0000  0.0000  0.0000 [1 per cell]  6 B 2.90, 12 Co 2.90
Sm  0.0000  0.0000  0.5000 [1 per cell]  6 Ni 2.90, 12 Co 3.22
Co  0.0000  0.5000  0.2101 [6 per cell]  2 B 2.05
Ni  0.3333  0.6667  0.5000 [2 per cell]  6 Co 2.47
B  0.3333  0.6667  0.0000 [2 per cell]  6 Co 2.05

Properties
Crystal system: hexagonal
Density in g/cm3: 8.697
Formation enthalpy at 0 K in meV/atom: -286
Spin magnetization in μB/atom: 0.397

***

No. 3
Entry from the Alexandria database: a relaxed structure of La3Pr5Y3 (PBE).

Cell: 11.5714 11.5714 3.4759 Å, 90.00 90.00 120.00°
Last column: nearest neighbours and their distance in Å.
Space group P-62m (No. 189)
Asymmetric unit:
La  0.0000  0.5968  0.0000 [3 per cell]  2 Y 3.31, 2 Pr 3.47, 2 La 3.48
Pr  0.0000  0.3370  0.5000 [3 per cell]  2 Y 3.38, 2 La 3.47, 2 Pr 3.48
Pr  0.3333  0.6667  0.5000 [2 per cell]  5 Pr 3.48-3.84
Y  0.0000  0.8405  0.5000 [3 per cell]  4 Y 3.20-3.48, 2 La 3.31, 2 Pr 3.38

Properties
Crystal system: hexagonal
Density in g/cm3: 5.718
Formation enthalpy at 0 K in meV/atom: 306
Spin magnetization in μB/atom: 0.000
Offset from the most stable computed form in eV per atom: 0.000

***

No. 4
Entry from the Alexandria database: a relaxed structure of Sc2Co2Ru (PBE).

Cell: 6.2705 6.2705 3.9722 Å, 90.00 90.00 90.00°
Last column: nearest neighbours and their distance in Å.
Space group P4/mbm (No. 127)
Asymmetric unit:
Sc  0.1820  0.3180  0.0000 [4 per cell]  6 Co 2.62-2.79
Co  0.1258  0.6258  0.5000 [4 per cell]  1 Co 2.23, 2 Ru 2.48
Ru  0.0000  0.0000  0.5000 [2 per cell]  4 Co 2.48

Properties
Crystal system: tetragonal
Density in g/cm3: 6.567
Formation enthalpy at 0 K in meV/atom: -238
Spin magnetization in μB/atom: 0.114
Offset from the most stable computed form in eV per atom: 0.000

***

No. 5
Entry from the Alexandria database: a relaxed structure of Ac2SeN (PBE).

Cell: 4.0611 4.0611 14.6170 Å, 90.00 90.00 120.00°
Last column: nearest neighbours and their distance in Å.
Space group P6_3/mmc (No. 194)
Asymmetric unit:
Ac  0.3333  0.6667  0.1011 [4 per cell]  3 N 2.77
Se  0.3333  0.6667  0.7500 [2 per cell]  6 Ac 3.20
N  0.0000  0.0000  0.0000 [2 per cell]  6 Ac 2.77

Properties
Crystal system: hexagonal
Energy relative to the elements, uncorrected in meV/atom: -1449
Density in g/cm3: 8.701
Spin magnetization in μB/atom: 0.000
Offset from the most stable computed form in eV per atom: 0.029

***

No. 6
Entry from the Alexandria database: a relaxed structure of Ca2HgAu2 (PBE).

Cell: 3.9574 3.9574 16.6077 Å, 90.00 90.00 90.00°
Last column: nearest neighbours and their distance in Å.
Space group I4/mmm (No. 139)
Asymmetric unit:
Ca  0.0000  0.0000  0.1097 [4 per cell]  4 Au 3.06, 4 Hg 3.34
Hg  0.0000  0.0000  0.5000 [2 per cell]  8 Ca 3.34
Au  0.0000  0.5000  0.2500 [4 per cell]  4 Au 2.80, 4 Ca 3.06

Properties
Crystal system: tetragonal
Density in g/cm3: 8.615
Formation enthalpy at 0 K in meV/atom: -532
Spin magnetization in μB/atom: 0.000

***

No. 7
Entry from the Alexandria database: a relaxed structure of ZnCu7Au3 (PBE).

Cell: 8.8418 8.8772 4.7332 Å, 90.00 115.13 90.00°
Last column: nearest neighbours and their distance in Å.
Space group C2/m (No. 12)
Asymmetric unit:
Zn  0.0000  0.0000  0.0000 [2 per cell]  8 Cu 2.37-2.60
Cu  0.0000  0.0000  0.5000 [2 per cell]  2 Zn 2.37, 2 Cu 2.53, 2 Au 2.58
Cu  0.1709  0.2490  0.1667 [8 per cell]  4 Cu 2.51-2.81, 1 Zn 2.60, 3 Au 2.62-2.68
Cu  0.2291  0.5000  0.5610 [4 per cell]  1 Zn 2.41, 3 Cu 2.52-2.53, 3 Au 2.57-2.67
Au  0.0000  0.2904  0.5000 [4 per cell]  9 Cu 2.58-2.89
Au  0.0000  0.5000  0.0000 [2 per cell]  6 Cu 2.57-2.62

Properties
Crystal system: monoclinic
Density in g/cm3: 10.873
Formation enthalpy at 0 K in meV/atom: 145
Spin magnetization in μB/atom: 0.000

***

No. 8
Entry from the Alexandria database: a relaxed structure of SrPS2Cl (PBE).

Cell: 4.7471 4.7471 4.8158 Å, 90.00 90.00 90.00°
Last column: nearest neighbours and their distance in Å.
Space group P4/mmm (No. 123)
Asymmetric unit:
Sr  0.0000  0.0000  0.0000 [1 per cell]  4 Cl 3.36, 8 S 3.38
P  0.5000  0.5000  0.5000 [1 per cell]  4 S 2.37, 2 Cl 2.41
S  0.0000  0.5000  0.5000 [2 per cell]  2 P 2.37
Cl  0.5000  0.5000  0.0000 [1 per cell]  2 P 2.41

Properties
Crystal system: tetragonal
Energy relative to the elements, uncorrected in meV/atom: -835
Density in g/cm3: 3.338
Spin magnetization in μB/atom: 0.000
Offset from the most stable computed form in eV per atom: 0.000

***

No. 9
Entry from the Alexandria database: a relaxed structure of Ca3Mg4Rh4 (PBE).

Cell: 4.3684 7.2792 14.4013 Å, 90.00 90.00 90.00°
Last column: nearest neighbours and their distance in Å.
Space group Immm (No. 71)
Asymmetric unit:
Ca  0.0000  0.0000  0.0000 [2 per cell]  6 Rh 3.13-3.20
Ca  0.0000  0.5000  0.1166 [4 per cell]  6 Rh 3.05-3.24, 6 Mg 3.20-3.35, 1 Ca 3.36
Mg  0.0000  0.3012  0.3264 [8 per cell]  4 Rh 2.66-2.70, 1 Mg 2.89
Rh  0.0000  0.0000  0.2176 [4 per cell]  6 Mg 2.70
Rh  0.0000  0.1782  0.5000 [4 per cell]  1 Rh 2.59, 2 Mg 2.66

Properties
Crystal system: orthorhombic
Density in g/cm3: 4.562
Formation enthalpy at 0 K in meV/atom: -353
Spin magnetization in μB/atom: 0.000

***

No. 10
Entry from the Alexandria database: a relaxed structure of MoH2W (PBE).

Cell: 4.2500 4.2500 8.4534 Å, 90.00 90.00 90.00°
Last column: nearest neighbours and their distance in Å.
Space group I-42d (No. 122)
Asymmetric unit:
Mo  0.0000  0.0000  0.0000 [4 per cell]  4 H 1.84
H  0.2496  0.2500  0.1250 [8 per cell]  2 Mo 1.84, 2 W 1.84
W  0.0000  0.0000  0.5000 [4 per cell]  4 H 1.84

Properties
Crystal system: tetragonal
Density in g/cm3: 12.258
Spin magnetization in μB/atom: 0.000
Offset from the most stable computed form in eV per atom: 0.080

***

No. 11
Entry from the Alexandria database: a relaxed structure of AgHgN2O (PBE).

Cell: 4.2906 4.2906 4.3595 Å, 90.00 90.00 90.00°
Last column: nearest neighbours and their distance in Å.
Space group P4/mmm (No. 123)
Asymmetric unit:
Ag  0.0000  0.0000  0.0000 [1 per cell]  4 O 3.03, 8 N 3.06
Hg  0.5000  0.5000  0.5000 [1 per cell]  4 N 2.15, 2 O 2.18
N  0.0000  0.5000  0.5000 [2 per cell]  2 Hg 2.15
O  0.5000  0.5000  0.0000 [1 per cell]  2 Hg 2.18

Properties
Crystal system: tetragonal
Energy relative to the elements, uncorrected in meV/atom: 1945
Density in g/cm3: 7.293
Spin magnetization in μB/atom: 0.679